{
  "formula": "HoAsRh",
  "functional": "PBE-GGA",
  "state": "relaxed",
  "e_tot_ev_per_atom": -6.020,
  "e_form_mev_per_atom": -493.9,
  "sg": "P-3m1, No. 164",
  "vol_a3_per_cell": 138.0,
  "density_kg_m3": 8246,
  "lattice_angstrom": [[-1.383, -2.776, -2.451], [3.215, -0.716, 2.185], [-5.896, -3.662, 7.476]],
  "species": ["As", "As", "Ho", "Ho", "Rh", "Rh"],
  "fractional_positions": [[0.667, 0.333, 0.327], [0.333, 0.667, 0.673], [0.667, 0.333, 0.859], [0.333, 0.667, 0.141], [0.333, 0.667, 0.415], [0.667, 0.333, 0.585]]
}